(1)
! SCAN SnHgSN2, PBEsol geometry; values from VASP
&SYSTEM
  ibrav = 0, nat = 5, ntyp = 4
/
ATOMIC_SPECIES
N 14.01 N.upf
S 32.06 S.upf
Hg 200.59 Hg.upf
Sn 118.71 Sn.upf
ATOMIC_POSITIONS crystal
N 0.000 0.500 0.000
N 0.500 0.000 0.000
S 0.000 0.000 0.500
Hg 0.000 0.000 0.000
Sn 0.500 0.500 0.500
CELL_PARAMETERS angstrom
-3.185 -2.071 1.854
2.617 -1.283 3.062
-1.166 4.297 2.797
! V   94.0 Å³/cell
! Magnetization   3.0 μB per formula unit



(2)
! SCAN ZrHgSN2, PBEsol geometry; values from VASP
&SYSTEM
  ibrav = 0, nat = 5, ntyp = 4
/
ATOMIC_SPECIES
N 14.01 N.upf
S 32.06 S.upf
Hg 200.59 Hg.upf
Zr 91.22 Zr.upf
ATOMIC_POSITIONS crystal
N 0.500 0.000 0.000
N 0.000 0.500 0.000
S 0.000 0.000 0.500
Hg 0.500 0.500 0.500
Zr 0.000 0.000 0.000
CELL_PARAMETERS angstrom
4.055 0.000 0.000
0.000 4.055 0.000
0.000 0.000 5.415
! V   89.0 Å³/cell
! Magnetization   0.0 μB per formula unit



(3)
! SCAN HgSb3N, PBEsol geometry; values from VASP
&SYSTEM
  ibrav = 0, nat = 5, ntyp = 3
/
ATOMIC_SPECIES
Hg 200.59 Hg.upf
Sb 121.76 Sb.upf
N 14.01 N.upf
ATOMIC_POSITIONS crystal
Hg 0.000 0.000 0.000
Sb 0.500 0.000 0.000
Sb 0.000 0.500 0.000
Sb 0.000 0.000 0.500
N 0.500 0.500 0.500
CELL_PARAMETERS angstrom
-3.476 0.193 4.278
-1.350 -5.278 -0.859
4.064 -1.589 3.373
! V   167.8 Å³/cell
! Magnetization   2.7 μB per formula unit



(4)
! SCAN HgSb2N, PBEsol geometry; values from VASP
&SYSTEM
  ibrav = 0, nat = 8, ntyp = 3
/
ATOMIC_SPECIES
Sb 121.76 Sb.upf
N 14.01 N.upf
Hg 200.59 Hg.upf
ATOMIC_POSITIONS crystal
Sb 0.125 0.227 0.750
Sb 0.477 0.875 0.250
Sb 0.625 0.523 0.750
Sb 0.773 0.375 0.250
N 0.750 0.250 0.500
N 0.500 0.500 0.000
Hg 0.250 0.750 0.500
Hg 0.000 0.000 0.000
CELL_PARAMETERS angstrom
5.431 0.000 0.000
0.000 5.431 0.000
-2.715 -2.715 6.430
! V   189.6 Å³/cell
! Magnetization   0.0 μB per formula unit



(5)
! SCAN ScHg3N, PBEsol geometry; values from VASP
&SYSTEM
  ibrav = 0, nat = 5, ntyp = 3
/
ATOMIC_SPECIES
Hg 200.59 Hg.upf
Sc 44.96 Sc.upf
N 14.01 N.upf
ATOMIC_POSITIONS crystal
Hg 0.000 0.000 0.500
Hg 0.500 0.000 0.000
Hg 0.000 0.500 0.000
Sc 0.000 0.000 0.000
N 0.500 0.500 0.500
CELL_PARAMETERS angstrom
5.549 0.000 0.000
0.000 5.549 0.000
0.000 0.000 5.549
! V   170.9 Å³/cell
! Magnetization   1.0 μB per formula unit



(6)
! SCAN Sc3HgN, PBEsol geometry; values from VASP
&SYSTEM
  ibrav = 0, nat = 5, ntyp = 3
/
ATOMIC_SPECIES
Sc 44.96 Sc.upf
N 14.01 N.upf
Hg 200.59 Hg.upf
ATOMIC_POSITIONS crystal
Sc 0.500 0.000 0.000
Sc 0.000 0.000 0.500
Sc 0.000 0.500 0.000
N 0.000 0.000 0.000
Hg 0.500 0.500 0.500
CELL_PARAMETERS angstrom
4.396 0.000 0.000
0.000 4.396 0.000
0.000 0.000 4.396
! V   84.9 Å³/cell
! Magnetization   0.0 μB per formula unit



(7)
! SCAN ScHgSeN2, PBEsol geometry; values from VASP
&SYSTEM
  ibrav = 0, nat = 5, ntyp = 4
/
ATOMIC_SPECIES
Se 78.96 Se.upf
N 14.01 N.upf
Sc 44.96 Sc.upf
Hg 200.59 Hg.upf
ATOMIC_POSITIONS crystal
Se 0.000 0.000 0.500
N 0.000 0.500 0.000
N 0.500 0.000 0.000
Sc 0.000 0.000 0.000
Hg 0.500 0.500 0.500
CELL_PARAMETERS angstrom
-3.799 0.152 1.618
-0.093 -4.127 0.171
2.137 0.159 5.005
! V   92.9 Å³/cell
! Magnetization   3.5 μB per formula unit



(8)
! SCAN Hg3SeN, PBEsol geometry; values from VASP
&SYSTEM
  ibrav = 0, nat = 5, ntyp = 3
/
ATOMIC_SPECIES
Hg 200.59 Hg.upf
Se 78.96 Se.upf
N 14.01 N.upf
ATOMIC_POSITIONS crystal
Hg 0.000 0.000 0.500
Hg 0.000 0.500 0.000
Hg 0.500 0.000 0.000
Se 0.500 0.500 0.500
N 0.000 0.000 0.000
CELL_PARAMETERS angstrom
-4.070 -2.185 -0.463
1.233 -3.000 3.322
-1.862 2.789 3.210
! V   100.0 Å³/cell
! Magnetization   0.0 μB per formula unit



(9)
! SCAN Hg2SeN, PBEsol geometry; values from VASP
&SYSTEM
  ibrav = 0, nat = 4, ntyp = 3
/
ATOMIC_SPECIES
Hg 200.59 Hg.upf
Se 78.96 Se.upf
N 14.01 N.upf
ATOMIC_POSITIONS crystal
Hg 0.250 0.250 0.250
Hg 0.750 0.750 0.750
Se 0.500 0.500 0.500
N 0.000 0.000 0.000
CELL_PARAMETERS angstrom
4.709 0.000 0.000
2.355 4.078 0.000
2.355 1.359 3.845
! V   73.9 Å³/cell
! Magnetization   2.5 μB per formula unit



(10)
! SCAN SiHgSeN2, PBEsol geometry; values from VASP
&SYSTEM
  ibrav = 0, nat = 5, ntyp = 4
/
ATOMIC_SPECIES
Se 78.96 Se.upf
Hg 200.59 Hg.upf
Si 28.09 Si.upf
N 14.01 N.upf
ATOMIC_POSITIONS crystal
Se 0.000 0.000 0.500
Hg 0.500 0.500 0.500
Si 0.000 0.000 0.000
N 0.000 0.500 0.000
N 0.500 0.000 0.000
CELL_PARAMETERS angstrom
3.569 0.000 0.000
0.000 3.569 0.000
0.000 0.000 5.992
! V   76.3 Å³/cell
! Magnetization   0.0 μB per formula unit



(11)
! SCAN SnHgSeN2, PBEsol geometry; values from VASP
&SYSTEM
  ibrav = 0, nat = 5, ntyp = 4
/
ATOMIC_SPECIES
Se 78.96 Se.upf
Sn 118.71 Sn.upf
Hg 200.59 Hg.upf
N 14.01 N.upf
ATOMIC_POSITIONS crystal
Se 0.000 0.000 0.500
Sn 0.000 0.000 0.000
Hg 0.500 0.500 0.500
N 0.500 0.000 0.000
N 0.000 0.500 0.000
CELL_PARAMETERS angstrom
-3.310 -0.196 2.389
2.237 -1.719 2.958
1.205 5.175 2.095
! V   95.4 Å³/cell
! Magnetization   2.5 μB per formula unit



(12)
! SCAN SrHgSeN2, PBEsol geometry; values from VASP
&SYSTEM
  ibrav = 0, nat = 5, ntyp = 4
/
ATOMIC_SPECIES
Se 78.96 Se.upf
N 14.01 N.upf
Hg 200.59 Hg.upf
Sr 87.62 Sr.upf
ATOMIC_POSITIONS crystal
Se 0.000 0.000 0.500
N 0.500 0.000 0.000
N 0.000 0.500 0.000
Hg 0.000 0.000 0.000
Sr 0.500 0.500 0.500
CELL_PARAMETERS angstrom
-2.109 -3.799 0.424
2.897 -1.273 3.009
-3.085 2.145 3.878
! V   102.9 Å³/cell
! Magnetization   3.1 μB per formula unit



Number 1: uncorrected formation energy 1.610 eV per atom. Number 2: uncorrected formation energy 0.268 eV per atom. Number 3: uncorrected formation energy 1.739 eV per atom. Number 4: uncorrected formation energy 0.564 eV per atom. Number 5: uncorrected formation energy 1.148 eV per atom. Number 6: uncorrected formation energy -1.366 eV per atom. Number 7: uncorrected formation energy 0.423 eV per atom. Number 8: uncorrected formation energy 0.717 eV per atom. Number 9: uncorrected formation energy 1.241 eV per atom. Number 10: uncorrected formation energy 0.556 eV per atom. Number 11: uncorrected formation energy 1.131 eV per atom. Number 12: uncorrected formation energy 0.712 eV per atom.